(1)
VASP calculation (PBE) on a relaxed Li4RhO5 crystal.

Computed properties:
Uncorrected formation energy: -1367 meV/atom
E: -5.347 eV/atom
Total magnetic moment: 2.61 μB/f.u.

Geometry as POSCAR:
```
Li4RhO5
1.0
-3.2864 3.2864 2.0661
3.2864 -3.2864 2.0661
3.2864 3.2864 -2.0661
Li Rh O
4 1 5
direct
0.0964 0.6960 0.7924 Li
0.3040 0.0964 0.4004 Li
0.6960 0.9036 0.5996 Li
0.9036 0.3040 0.2076 Li
0.5000 0.5000 0.0000 Rh
0.0000 0.0000 0.0000 O
0.2194 0.4091 0.6286 O
0.4091 0.7806 0.1897 O
0.5909 0.2194 0.8103 O
0.7806 0.5909 0.3714 O
```

(2)
VASP calculation (PBE) on a relaxed CuPdI4 crystal.

Computed properties:
Uncorrected formation energy: -75 meV/atom
E: -2.656 eV/atom
Total magnetic moment: 0.02 μB/f.u.

Geometry as POSCAR:
```
CuPdI4
1.0
6.7548 0.0000 0.0000
0.0000 4.1485 0.0000
-0.8869 0.0000 6.8363
Cu Pd I
1 1 4
direct
0.0000 0.0000 0.0000 Cu
0.0000 0.5000 0.5000 Pd
0.2184 0.0000 0.3445 I
0.2478 0.5000 0.8452 I
0.7522 0.5000 0.1548 I
0.7816 0.0000 0.6555 I
```